Entry 1:
Crystalline MnBe4Tl at its relaxed geometry, computed with GGA-PBE.

a = 4.551 Å, b = 4.551 Å, c = 4.551 Å
α = 60.00°, β = 60.00°, γ = 60.00°
Fractional positions:
1 Be 0.138 0.621 0.621
2 Be 0.621 0.621 0.621
3 Be 0.621 0.138 0.621
4 Be 0.621 0.621 0.138
5 Tl 0.000 0.000 0.000
6 Mn 0.250 0.250 0.250

Calculated values
uncorrected energy = -4.10 eV per atom
crystal system = cubic

---

Entry 2:
Crystalline Mn2BeTl at its relaxed geometry, computed with GGA-PBE.

a = 3.897 Å, b = 3.859 Å, c = 3.859 Å
α = 90.00°, β = 90.00°, γ = 90.00°
Fractional positions:
1 Mn 0.000 0.500 0.500
2 Mn 0.000 0.000 0.000
3 Be 0.500 0.000 0.500
4 Tl 0.500 0.500 0.000

Calculated values
excess energy over the best structure of this formula in the dataset = 73.5 meV per atom
crystal system = tetragonal

---

Entry 3:
Crystalline Mn4BeTl at its relaxed geometry, computed with GGA-PBE.

a = 4.814 Å, b = 4.814 Å, c = 4.814 Å
α = 60.00°, β = 60.00°, γ = 60.00°
Fractional positions:
1 Mn 0.374 0.879 0.374
2 Mn 0.879 0.374 0.374
3 Mn 0.374 0.374 0.879
4 Mn 0.374 0.374 0.374
5 Be 0.000 0.000 0.000
6 Tl 0.750 0.750 0.750

Calculated values
uncorrected energy = -6.54 eV per atom
crystal system = cubic

---

Entry 4:
Crystalline Mn2BeTl at its relaxed geometry, computed with GGA-PBE.

a = 4.502 Å, b = 4.502 Å, c = 4.764 Å
α = 76.44°, β = 76.44°, γ = 38.09°
Fractional positions:
1 Tl 0.504 0.504 0.492
2 Mn 0.995 0.995 0.005
3 Mn 0.732 0.732 0.820
4 Be 0.269 0.269 0.183

Calculated values
excess energy over the best structure of this formula in the dataset = 190.8 meV per atom
crystal system = monoclinic

---

Entry 5:
Crystalline Mn2BeTl at its relaxed geometry, computed with GGA-PBE.

a = 4.284 Å, b = 4.284 Å, c = 4.284 Å
α = 60.00°, β = 60.00°, γ = 60.00°
Fractional positions:
1 Mn 0.250 0.250 0.250
2 Mn 0.000 0.000 0.000
3 Tl 0.750 0.750 0.750
4 Be 0.500 0.500 0.500

Calculated values
excess energy over the best structure of this formula in the dataset = 277.3 meV per atom
crystal system = cubic

---

Entry 6:
Crystalline Mn2BeTl at its relaxed geometry, computed with GGA-PBE.

a = 4.413 Å, b = 4.413 Å, c = 4.413 Å
α = 60.00°, β = 60.00°, γ = 60.00°
Fractional positions:
1 Mn 0.750 0.750 0.750
2 Mn 0.250 0.250 0.250
3 Tl 0.500 0.500 0.500
4 Be 0.000 0.000 0.000

Calculated values
excess energy over the best structure of this formula in the dataset = 156.5 meV per atom
crystal system = cubic

---

Entry 7:
Crystalline Mn2BeTl at its relaxed geometry, computed with GGA-PBE.

a = 7.859 Å, b = 7.859 Å, c = 7.859 Å
α = 22.34°, β = 22.34°, γ = 22.34°
Fractional positions:
1 Mn 0.481 0.481 0.481
2 Mn 0.019 0.019 0.019
3 Tl 0.250 0.250 0.250
4 Be 0.750 0.750 0.750

Calculated values
excess energy over the best structure of this formula in the dataset = 144.5 meV per atom
crystal system = trigonal

---

Entry 8:
Crystalline Mn2BeTl at its relaxed geometry, computed with GGA-PBE.

a = 4.621 Å, b = 4.621 Å, c = 2.908 Å
α = 90.00°, β = 90.00°, γ = 107.58°
Fractional positions:
1 Mn 0.000 0.000 0.000
2 Mn 0.500 0.500 0.000
3 Tl 0.500 0.000 0.500
4 Be 0.000 0.500 0.500

Calculated values
excess energy over the best structure of this formula in the dataset = 166.8 meV per atom
crystal system = orthorhombic

---

Entry 9:
Crystalline Mn2BeTl at its relaxed geometry, computed with GGA-PBE.

a = 3.670 Å, b = 3.670 Å, c = 9.091 Å
α = 78.35°, β = 78.35°, γ = 90.00°
Fractional positions:
1 Tl 0.750 0.250 0.500
2 Tl 0.000 0.000 0.000
3 Be 0.250 0.750 0.500
4 Be 0.500 0.500 0.000
5 Mn 0.375 0.776 0.750
6 Mn 0.224 0.125 0.250
7 Mn 0.875 0.474 0.750
8 Mn 0.526 0.625 0.250

Calculated values
excess energy over the best structure of this formula in the dataset = 454.5 meV per atom
crystal system = tetragonal

---

Entry 10:
Crystalline Y2MnBeTl at its relaxed geometry, computed with GGA-PBE.

a = 5.073 Å, b = 4.443 Å, c = 5.073 Å
α = 90.00°, β = 90.00°, γ = 90.00°
Fractional positions:
1 Y 0.000 0.000 0.500
2 Y 0.500 0.000 0.000
3 Be 0.000 0.500 0.000
4 Mn 0.000 0.000 0.000
5 Tl 0.500 0.500 0.500

Calculated values
uncorrected energy = -5.31 eV per atom
crystal system = tetragonal

---

Entry 11:
Crystalline TmMnBe4 at its relaxed geometry, computed with GGA-PBE.

a = 4.616 Å, b = 4.616 Å, c = 4.616 Å
α = 60.00°, β = 60.00°, γ = 60.00°
Fractional positions:
1 Be 0.628 0.628 0.628
2 Be 0.115 0.628 0.628
3 Be 0.628 0.115 0.628
4 Be 0.628 0.628 0.115
5 Mn 0.000 0.000 0.000
6 Tm 0.250 0.250 0.250

Calculated values
uncorrected energy = -4.80 eV per atom
crystal system = cubic

---

Entry 12:
Crystalline TmMn10Be2 at its relaxed geometry, computed with GGA-PBE.

a = 6.199 Å, b = 6.199 Å, c = 7.917 Å
α = 90.00°, β = 90.00°, γ = 97.16°
Fractional positions:
1 Mn 0.224 0.224 0.000
2 Mn 0.247 0.487 0.750
3 Mn 0.833 0.167 0.097
4 Mn 0.776 0.776 0.000
5 Mn 0.393 0.607 0.431
6 Mn 0.127 0.382 0.250
7 Mn 0.873 0.618 0.750
8 Mn 0.513 0.753 0.750
9 Mn 0.618 0.873 0.250
10 Mn 0.753 0.513 0.250
11 Mn 0.382 0.127 0.750
12 Mn 0.776 0.776 0.500
13 Mn 0.487 0.247 0.250
14 Mn 0.167 0.833 0.597
15 Mn 0.224 0.224 0.500
16 Mn 0.607 0.393 0.569
17 Mn 0.167 0.833 0.903
18 Mn 0.833 0.167 0.403
19 Mn 0.393 0.607 0.069
20 Mn 0.607 0.393 0.931
21 Be 0.500 0.000 0.500
22 Be 0.000 0.500 0.000
23 Be 0.500 0.000 0.000
24 Be 0.000 0.500 0.500
25 Tm 0.126 0.874 0.250
26 Tm 0.874 0.126 0.750

Calculated values
uncorrected energy = -8.01 eV per atom
crystal system = orthorhombic

---

no.,density of states at the Fermi level (states/eV/cell)
1,2.5
2,2.2
3,7.8
4,2.6
5,3.8
6,2.9
7,1.7
8,2.6
9,10.5
10,5.0
11,3.1
12,23.9